No. 1
Computed, not measured: crystalline PmNbF at its relaxed geometry at the PBE-GGA level of DFT.

abc: 3.478 3.478 9.302
angles: 90.00 90.00 90.00
Space group P4/nmm (No. 129, origin choice 2)
Inequivalent atoms, fractional coordinates:
Pm (0.250, 0.250, 0.195) (multiplicity 2)
Nb (0.250, 0.250, 0.570) (multiplicity 2)
F (0.250, 0.250, 0.924) (multiplicity 2)

Properties
The uncorrected formation energy comes out at -1.461 eV/atom.

No. 2
Computed, not measured: crystalline YCu4Pd at its relaxed geometry at the PBE-GGA level of DFT.

abc: 7.088 7.088 7.088
angles: 90.00 90.00 90.00
Space group F-43m (No. 216)
Inequivalent atoms, fractional coordinates:
Y (0.000, 0.000, 0.000) (multiplicity 4)
Cu (0.124, 0.124, 0.624) (multiplicity 16)
Pd (0.250, 0.250, 0.250) (multiplicity 4)

Properties
As for the energy of formation from the pure elements: -2.06 eV/f.u.

No. 3
Computed, not measured: crystalline Ba4TaCo at its relaxed geometry at the PBE-GGA level of DFT.

abc: 9.876 9.876 9.876
angles: 90.00 90.00 90.00
Space group F-43m (No. 216)
Inequivalent atoms, fractional coordinates:
Ba (0.125, 0.125, 0.125) (multiplicity 16)
Ta (0.000, 0.000, 0.500) (multiplicity 4)
Co (0.250, 0.250, 0.750) (multiplicity 4)

Properties
As for the energy of formation from the pure elements: 9.30 eV/f.u.

No. 4
Computed, not measured: crystalline BeSi2H8 at its relaxed geometry at the PBE-GGA level of DFT.

abc: 10.373 4.230 4.037
angles: 90.00 93.98 90.00
Space group C2/m (No. 12)
Inequivalent atoms, fractional coordinates:
Be (0.000, 0.000, 0.000) (multiplicity 2)
Si (0.181, 0.000, 0.360) (multiplicity 4)
H (0.083, 0.258, 0.201) (multiplicity 8)
H (0.102, 0.000, 0.702) (multiplicity 4)
H (0.225, 0.500, 0.917) (multiplicity 4)

No. 5
Computed, not measured: crystalline MgBeN2 at its relaxed geometry at the PBE-GGA level of DFT.

abc: 3.888 3.888 10.245
angles: 90.00 90.00 90.00
Space group I-42d (No. 122)
Inequivalent atoms, fractional coordinates:
Mg (0.000, 0.000, 0.000) (multiplicity 4)
Be (0.000, 0.000, 0.500) (multiplicity 4)
N (0.109, 0.250, 0.625) (multiplicity 8)

Properties
As for the relative energy among the computed polymorphs: 0.0 meV per atom. The uncorrected formation energy comes out at -0.163 eV/atom.

No. 6
Computed, not measured: crystalline KMn4 at its relaxed geometry at the PBE-GGA level of DFT.

abc: 6.235 6.235 6.235
angles: 90.00 90.00 90.00
Space group Im-3m (No. 229)
Inequivalent atoms, fractional coordinates:
K (0.000, 0.000, 0.000) (multiplicity 2)
Mn (0.250, 0.250, 0.250) (multiplicity 8)

Properties
As for the relative energy among the computed polymorphs: 0.0 meV per atom. As for the energy of formation from the pure elements: 10.80 eV/f.u.

E_tot, respectively: -7.025; -5.016; -2.892; -3.481; -5.656; -5.395 eV/atom.
M_tot, respectively: 0.00; 0.00; 23.76; 0.00; 0.00; 32.46 Bohr magnetons per cell.